SiPbCl | Alexandria via LeMat-Bulk | PBE | relaxed; energy relative to the lowest polymorph listed for this composition = 259.8 meV per atom; magnetization = 0.0 μB/cell; raw formation energy = 283 meV per atom; total energy = -10.13 eV for the cell shown
1.0
4.8148 0.0000 0.0000
2.4074 4.1697 0.0000
2.4074 1.3899 3.9313
Cl Si Pb
1 1 1
direct
0.0000 0.0000 0.0000
0.7500 0.7500 0.7500
0.5000 0.5000 0.5000